GGA-PBE TcAsF, relaxed; calculated total energy = -6.378 eV/atom; mass density = 6.3 g/cm³; SG = P2_1; calculated volume = 16.99 Å³/atom; formation energy (no corrections) = -0.749 eV per atom; DOS(E_F) = 0.021 states/eV per atom
1.0
6.355 0.000 0.000
0.000 5.412 0.000
-3.108 0.000 5.928
Tc As F
4 4 4
Cartesian
-0.601 0.000 1.502 Tc
2.212 5.339 1.341 Tc
1.035 2.633 4.587 Tc
3.849 2.706 4.426 Tc
-0.719 1.560 3.293 As
0.841 4.180 2.871 As
2.407 1.474 3.056 As
3.967 4.265 2.634 As
0.712 1.011 0.063 F
-0.826 3.649 5.635 F
4.073 0.943 0.292 F
2.536 3.717 5.865 F